Record 1
BeIr3 after structural relaxation, computed with PBE-GGA.

Lattice parameters (Å, degrees): 4.2685 4.2685 4.2685 60.00 60.00 60.00
Fractional positions:
Be1 0.0000 0.0000 0.0000
Ir1 0.2500 0.2500 0.2500
Ir2 0.5000 0.5000 0.5000
Ir3 0.7500 0.7500 0.7500

## Properties
- Total moment: 1.690 Bohr magnetons per cell
- ΔE_f: 0.246 eV/atom
- V: 55.0 Å³ per cell
- DFT total energy: -7.331 eV per atom

***

Record 2
Al4IrPt after structural relaxation, computed with PBE-GGA.

Lattice parameters (Å, degrees): 4.9922 4.9922 4.9922 60.00 60.00 60.00
Fractional positions:
Al1 0.1254 0.1254 0.1254
Al2 0.1254 0.1254 0.6238
Al3 0.1254 0.6238 0.1254
Al4 0.6238 0.1254 0.1254
Ir1 0.5000 0.5000 0.5000
Pt1 0.7500 0.7500 0.7500

## Properties
- Total moment: 0.000 Bohr magnetons per cell
- ΔE_f: -0.142 eV/atom
- V: 88.0 Å³ per cell
- DFT total energy: -5.121 eV per atom

***

Record 3
SiRu after structural relaxation, computed with PBE-GGA.

Lattice parameters (Å, degrees): 6.0122 5.7368 4.8459 68.64 62.71 48.65
Fractional positions:
Si1 0.0656 0.6844 0.6844
Si2 0.3156 0.9344 0.9344
Si3 0.6844 0.0656 0.0656
Si4 0.9344 0.3156 0.3156
Ru1 0.1754 0.5746 0.1754
Ru2 0.4254 0.8246 0.4254
Ru3 0.5746 0.1754 0.5746
Ru4 0.8246 0.4254 0.8246

## Properties
- Total moment: 0.000 Bohr magnetons per cell
- Raw formation energy: -6.3 kcal/mol of atoms
- V: 111.0 Å³ per cell
- DFT total energy: -7.625 eV per atom

***

Record 4
LiBeNO2 after structural relaxation, computed with PBE-GGA.

Lattice parameters (Å, degrees): 3.5348 3.5348 3.7491 90.00 90.00 90.00
Fractional positions:
Li1 0.0000 0.0000 0.0000
Be1 0.5000 0.5000 0.5000
N1 0.0000 0.0000 0.5000
O1 0.0000 0.5000 0.0000
O2 0.5000 0.0000 0.0000

## Properties
- Total moment: 3.966 Bohr magnetons per cell
- Raw formation energy: 20.0 kcal/mol of atoms
- V: 46.8 Å³ per cell
- DFT total energy: -3.908 eV per atom

***

Record 5
LaPmNd3Sm after structural relaxation, computed with PBE-GGA.

Lattice parameters (Å, degrees): 10.8031 10.8031 6.9691 90.58 90.58 31.40
Fractional positions:
La1 0.1458 0.1458 0.0295
La2 0.8542 0.8542 0.9705
Pm1 0.4439 0.4439 0.7412
Pm2 0.5561 0.5561 0.2588
Nd1 0.0196 0.0196 0.7484
Nd2 0.2803 0.2803 0.7470
Nd3 0.3389 0.3389 0.2571
Nd4 0.6611 0.6611 0.7429
Nd5 0.7197 0.7197 0.2530
Nd6 0.9804 0.9804 0.2516
Sm1 0.1453 0.1453 0.4731
Sm2 0.8547 0.8547 0.5269

## Properties
- Total moment: 0.000 Bohr magnetons per cell
- ΔE_f: 0.157 eV/atom
- V: 423.7 Å³ per cell
- DFT total energy: -4.626 eV per atom

***

Record 6
CrRe3C after structural relaxation, computed with PBE-GGA.

Lattice parameters (Å, degrees): 4.4215 4.4215 4.4215 90.00 90.00 90.00
Fractional positions:
Cr1 0.0000 0.0000 0.0000
Re1 0.0000 0.0000 0.5000
Re2 0.0000 0.5000 0.0000
Re3 0.5000 0.0000 0.0000
C1 0.5000 0.5000 0.5000

## Properties
- Total moment: 0.001 Bohr magnetons per cell
- ΔE_f: 2.931 eV/atom
- V: 86.4 Å³ per cell
- DFT total energy: -8.307 eV per atom
- Energy above the most stable polymorph in this dataset: 2577 meV/atom

***

Record 7
Al3BW after structural relaxation, computed with PBE-GGA.

Lattice parameters (Å, degrees): 4.8911 4.8911 4.8911 90.00 90.00 90.00
Fractional positions:
Al1 0.0000 0.0000 0.5000
Al2 0.0000 0.5000 0.0000
Al3 0.5000 0.0000 0.0000
B1 0.5000 0.5000 0.5000
W1 0.0000 0.0000 0.0000

## Properties
- Total moment: 0.000 Bohr magnetons per cell
- ΔE_f: 1.568 eV/atom
- V: 117.0 Å³ per cell
- DFT total energy: -4.604 eV per atom
- Energy above the most stable polymorph in this dataset: 867 meV/atom

***

Record 8
TlIn3 after structural relaxation, computed with PBE-GGA.

Lattice parameters (Å, degrees): 6.4952 6.4952 5.5908 90.00 90.00 104.81
Fractional positions:
Tl1 0.1161 0.8839 0.7500
Tl2 0.8839 0.1161 0.2500
In1 0.1887 0.3940 0.7500
In2 0.3215 0.6785 0.2500
In3 0.3940 0.1887 0.2500
In4 0.6060 0.8113 0.7500
In5 0.6785 0.3215 0.7500
In6 0.8113 0.6060 0.2500

## Properties
- Total moment: 0.000 Bohr magnetons per cell
- ΔE_f: 0.023 eV/atom
- V: 228.0 Å³ per cell
- DFT total energy: -2.622 eV per atom

***

Record 9
V3GeMo after structural relaxation, computed with PBE-GGA.

Lattice parameters (Å, degrees): 4.4259 4.4259 4.4259 90.00 90.00 90.00
Fractional positions:
V1 0.0000 0.0000 0.5000
V2 0.0000 0.5000 0.0000
V3 0.5000 0.0000 0.0000
Ge1 0.0000 0.0000 0.0000
Mo1 0.5000 0.5000 0.5000

## Properties
- Total moment: 1.037 Bohr magnetons per cell
- ΔE_f: 1.125 eV/atom
- V: 86.7 Å³ per cell
- DFT total energy: -7.436 eV per atom
- Energy above the most stable polymorph in this dataset: 1120 meV/atom

***

Record 10
LiMnBr2 after structural relaxation, computed with PBE-GGA.

Lattice parameters (Å, degrees): 7.3439 7.3439 3.7068 90.13 90.13 29.19
Fractional positions:
Li1 0.0000 0.0000 0.0000
Mn1 0.6418 0.6418 0.5020
Br1 0.1888 0.1888 0.0028
Br2 0.4581 0.4581 0.5001

## Properties
- Total moment: 4.140 Bohr magnetons per cell
- Raw formation energy: -13.5 kcal/mol of atoms
- V: 97.5 Å³ per cell
- DFT total energy: -4.193 eV per atom
- Energy above the most stable polymorph in this dataset: 64 meV/atom

***

Record 11
NdHoCuGe after structural relaxation, computed with PBE-GGA.

Lattice parameters (Å, degrees): 5.0495 5.0495 5.0495 60.00 60.00 60.00
Fractional positions:
Nd1 0.0000 0.0000 0.0000
Ho1 0.5000 0.5000 0.5000
Cu1 0.2500 0.2500 0.2500
Ge1 0.7500 0.7500 0.7500

## Properties
- Total moment: 0.001 Bohr magnetons per cell
- ΔE_f: -0.469 eV/atom
- V: 91.0 Å³ per cell
- DFT total energy: -4.983 eV per atom

***

Record 12
Ce6RhPb after structural relaxation, computed with PBE-GGA.

Lattice parameters (Å, degrees): 6.5201 6.5201 6.2971 107.26 107.26 111.98
Fractional positions:
Ce1 0.0559 0.5745 0.7726
Ce2 0.2288 0.2288 0.7974
Ce3 0.4255 0.9441 0.2274
Ce4 0.5745 0.0559 0.7726
Ce5 0.7712 0.7712 0.2026
Ce6 0.9441 0.4255 0.2274
Rh1 0.0000 0.0000 0.0000
Pb1 0.5000 0.5000 0.5000

## Properties
- Total moment: 0.003 Bohr magnetons per cell
- ΔE_f: -0.092 eV/atom
- V: 210.4 Å³ per cell
- DFT total energy: -5.925 eV per atom